No. 1
## ThSnGe (PBE-GGA)

Data for ThSnGe after structural relaxation.

a = 4.3694 Å, b = 17.0656 Å, c = 4.1582 Å
α = 90.00°, β = 90.00°, γ = 90.00°
Fractional coordinates of all 12 atoms:
Th 0.0000 0.0974 0.2500
Th 0.0000 0.9026 0.7500
Th 0.5000 0.4026 0.7500
Th 0.5000 0.5974 0.2500
Sn 0.0000 0.2516 0.7500
Sn 0.0000 0.7484 0.2500
Sn 0.5000 0.2484 0.2500
Sn 0.5000 0.7516 0.7500
Ge 0.0000 0.4490 0.2500
Ge 0.0000 0.5510 0.7500
Ge 0.5000 0.0510 0.7500
Ge 0.5000 0.9490 0.2500

Calculated values
* final energy: -71.44 eV for the cell shown
* total moment: 0.01 μB per formula unit

=====

No. 2
## ThSnGe (PBE-GGA)

Data for ThSnGe after structural relaxation.

a = 7.2015 Å, b = 7.2015 Å, c = 7.2015 Å
α = 90.00°, β = 90.00°, γ = 90.00°
Fractional coordinates of all 12 atoms:
Th 0.0000 0.0000 0.0000
Th 0.0000 0.5000 0.5000
Th 0.5000 0.0000 0.5000
Th 0.5000 0.5000 0.0000
Sn 0.2500 0.2500 0.2500
Sn 0.2500 0.7500 0.7500
Sn 0.7500 0.2500 0.7500
Sn 0.7500 0.7500 0.2500
Ge 0.2500 0.2500 0.7500
Ge 0.2500 0.7500 0.2500
Ge 0.7500 0.2500 0.2500
Ge 0.7500 0.7500 0.7500

Calculated values
* final energy: -63.99 eV for the cell shown
* total moment: 0.00 μB per formula unit

=====

No. 3
## ThSnGe (PBE-GGA)

Data for ThSnGe after structural relaxation.

a = 6.9830 Å, b = 6.9830 Å, c = 6.9830 Å
α = 90.00°, β = 90.00°, γ = 90.00°
Fractional coordinates of all 12 atoms:
Th 0.0000 0.0000 0.0000
Th 0.0000 0.5000 0.5000
Th 0.5000 0.0000 0.5000
Th 0.5000 0.5000 0.0000
Sn 0.0000 0.0000 0.5000
Sn 0.0000 0.5000 0.0000
Sn 0.5000 0.0000 0.0000
Sn 0.5000 0.5000 0.5000
Ge 0.2500 0.2500 0.7500
Ge 0.2500 0.7500 0.2500
Ge 0.7500 0.2500 0.2500
Ge 0.7500 0.7500 0.7500

Calculated values
* final energy: -65.88 eV for the cell shown
* total moment: 0.00 μB per formula unit

=====

No. 4
## TmSnGe (PBE-GGA)

Data for TmSnGe after structural relaxation.

a = 4.2612 Å, b = 16.0524 Å, c = 4.0503 Å
α = 90.00°, β = 90.00°, γ = 90.00°
Fractional coordinates of all 12 atoms:
Tm 0.0000 0.0935 0.2500
Tm 0.0000 0.9065 0.7500
Tm 0.5000 0.4065 0.7500
Tm 0.5000 0.5935 0.2500
Sn 0.0000 0.2539 0.7500
Sn 0.0000 0.7461 0.2500
Sn 0.5000 0.2461 0.2500
Sn 0.5000 0.7539 0.7500
Ge 0.0000 0.4449 0.2500
Ge 0.0000 0.5551 0.7500
Ge 0.5000 0.0551 0.7500
Ge 0.5000 0.9449 0.2500

Calculated values
* final energy: -59.38 eV for the cell shown
* total moment: 0.00 μB per formula unit

=====

No. 5
## TmSnGe (PBE-GGA)

Data for TmSnGe after structural relaxation.

a = 6.9348 Å, b = 6.9348 Å, c = 6.9348 Å
α = 90.00°, β = 90.00°, γ = 90.00°
Fractional coordinates of all 12 atoms:
Tm 0.0000 0.0000 0.0000
Tm 0.0000 0.5000 0.5000
Tm 0.5000 0.0000 0.5000
Tm 0.5000 0.5000 0.0000
Sn 0.2500 0.2500 0.2500
Sn 0.2500 0.7500 0.7500
Sn 0.7500 0.2500 0.7500
Sn 0.7500 0.7500 0.2500
Ge 0.2500 0.2500 0.7500
Ge 0.2500 0.7500 0.2500
Ge 0.7500 0.2500 0.2500
Ge 0.7500 0.7500 0.7500

Calculated values
* final energy: -53.77 eV for the cell shown
* total moment: 0.00 μB per formula unit

=====

No. 6
## TmSnGe (PBE-GGA)

Data for TmSnGe after structural relaxation.

a = 6.8679 Å, b = 6.8679 Å, c = 6.8679 Å
α = 90.00°, β = 90.00°, γ = 90.00°
Fractional coordinates of all 12 atoms:
Tm 0.0000 0.0000 0.0000
Tm 0.0000 0.5000 0.5000
Tm 0.5000 0.0000 0.5000
Tm 0.5000 0.5000 0.0000
Sn 0.0000 0.0000 0.5000
Sn 0.0000 0.5000 0.0000
Sn 0.5000 0.0000 0.0000
Sn 0.5000 0.5000 0.5000
Ge 0.2500 0.2500 0.7500
Ge 0.2500 0.7500 0.2500
Ge 0.7500 0.2500 0.2500
Ge 0.7500 0.7500 0.7500

Calculated values
* final energy: -54.46 eV for the cell shown
* total moment: 0.00 μB per formula unit

=====

No. 7
## Tm2SnGe (PBE-GGA)

Data for Tm2SnGe after structural relaxation.

a = 4.0653 Å, b = 4.3489 Å, c = 10.9811 Å
α = 90.00°, β = 90.00°, γ = 90.00°
Fractional coordinates of all 8 atoms:
Tm 0.0000 0.0000 0.0000
Tm 0.0000 0.5000 0.5000
Tm 0.5000 0.0000 0.2757
Tm 0.5000 0.5000 0.7757
Sn 0.5000 0.0000 0.5538
Sn 0.5000 0.5000 0.0538
Ge 0.0000 0.0000 0.7365
Ge 0.0000 0.5000 0.2365

Calculated values
* final energy: -40.91 eV for the cell shown
* total moment: 0.00 μB per formula unit

=====

No. 8
## USnGe (PBE-GGA)

Data for USnGe after structural relaxation.

a = 6.9480 Å, b = 6.9480 Å, c = 6.9480 Å
α = 90.00°, β = 90.00°, γ = 90.00°
Fractional coordinates of all 12 atoms:
U 0.0000 0.0000 0.0000
U 0.0000 0.5000 0.5000
U 0.5000 0.0000 0.5000
U 0.5000 0.5000 0.0000
Sn 0.2500 0.2500 0.7500
Sn 0.2500 0.7500 0.2500
Sn 0.7500 0.2500 0.2500
Sn 0.7500 0.7500 0.7500
Ge 0.0000 0.0000 0.5000
Ge 0.0000 0.5000 0.0000
Ge 0.5000 0.0000 0.0000
Ge 0.5000 0.5000 0.5000

Calculated values
* final energy: -72.52 eV for the cell shown
* total moment: 3.13 μB per formula unit

=====

No. 9
## USnGe (PBE-GGA)

Data for USnGe after structural relaxation.

a = 6.9359 Å, b = 6.9359 Å, c = 6.9359 Å
α = 90.00°, β = 90.00°, γ = 90.00°
Fractional coordinates of all 12 atoms:
U 0.0000 0.0000 0.0000
U 0.0000 0.5000 0.5000
U 0.5000 0.0000 0.5000
U 0.5000 0.5000 0.0000
Sn 0.2500 0.2500 0.2500
Sn 0.2500 0.7500 0.7500
Sn 0.7500 0.2500 0.7500
Sn 0.7500 0.7500 0.2500
Ge 0.2500 0.2500 0.7500
Ge 0.2500 0.7500 0.2500
Ge 0.7500 0.2500 0.2500
Ge 0.7500 0.7500 0.7500

Calculated values
* final energy: -75.33 eV for the cell shown
* total moment: 2.07 μB per formula unit

=====

No. 10
## ZnSnGe2 (PBE-GGA)

Data for ZnSnGe2 after structural relaxation.

a = 6.9249 Å, b = 6.9249 Å, c = 6.9249 Å
α = 90.00°, β = 90.00°, γ = 90.00°
Fractional coordinates of all 16 atoms:
Zn 0.0000 0.0000 0.0000
Zn 0.0000 0.5000 0.5000
Zn 0.5000 0.0000 0.5000
Zn 0.5000 0.5000 0.0000
Sn 0.2500 0.2500 0.7500
Sn 0.2500 0.7500 0.2500
Sn 0.7500 0.2500 0.2500
Sn 0.7500 0.7500 0.7500
Ge 0.0000 0.0000 0.5000
Ge 0.0000 0.5000 0.0000
Ge 0.2500 0.2500 0.2500
Ge 0.2500 0.7500 0.7500
Ge 0.5000 0.0000 0.0000
Ge 0.5000 0.5000 0.5000
Ge 0.7500 0.2500 0.7500
Ge 0.7500 0.7500 0.2500

Calculated values
* final energy: -53.95 eV for the cell shown

=====

No. 11
## ZnSn2Ge (PBE-GGA)

Data for ZnSn2Ge after structural relaxation.

a = 7.1815 Å, b = 7.1815 Å, c = 7.1815 Å
α = 90.00°, β = 90.00°, γ = 90.00°
Fractional coordinates of all 16 atoms:
Zn 0.0000 0.0000 0.0000
Zn 0.0000 0.5000 0.5000
Zn 0.5000 0.0000 0.5000
Zn 0.5000 0.5000 0.0000
Sn 0.0000 0.0000 0.5000
Sn 0.0000 0.5000 0.0000
Sn 0.2500 0.2500 0.2500
Sn 0.2500 0.7500 0.7500
Sn 0.5000 0.0000 0.0000
Sn 0.5000 0.5000 0.5000
Sn 0.7500 0.2500 0.7500
Sn 0.7500 0.7500 0.2500
Ge 0.2500 0.2500 0.7500
Ge 0.2500 0.7500 0.2500
Ge 0.7500 0.2500 0.2500
Ge 0.7500 0.7500 0.7500

Calculated values
* final energy: -52.03 eV for the cell shown

=====

No. 12
## SrTaGe (PBE-GGA)

Data for SrTaGe after structural relaxation.

a = 6.8155 Å, b = 6.8155 Å, c = 6.8155 Å
α = 90.00°, β = 90.00°, γ = 90.00°
Fractional coordinates of all 12 atoms:
Sr 0.0000 0.0000 0.0000
Sr 0.0000 0.5000 0.5000
Sr 0.5000 0.0000 0.5000
Sr 0.5000 0.5000 0.0000
Ta 0.0000 0.0000 0.5000
Ta 0.0000 0.5000 0.0000
Ta 0.5000 0.0000 0.0000
Ta 0.5000 0.5000 0.5000
Ge 0.2500 0.2500 0.2500
Ge 0.2500 0.7500 0.7500
Ge 0.7500 0.2500 0.7500
Ge 0.7500 0.7500 0.2500

Calculated values
* final energy: -65.30 eV for the cell shown
* total moment: 2.25 μB per formula unit

=====

No. 13
## SrTaGe (PBE-GGA)

Data for SrTaGe after structural relaxation.

a = 7.1208 Å, b = 7.1208 Å, c = 7.1208 Å
α = 90.00°, β = 90.00°, γ = 90.00°
Fractional coordinates of all 12 atoms:
Sr 0.0000 0.0000 0.0000
Sr 0.0000 0.5000 0.5000
Sr 0.5000 0.0000 0.5000
Sr 0.5000 0.5000 0.0000
Ta 0.2500 0.2500 0.2500
Ta 0.2500 0.7500 0.7500
Ta 0.7500 0.2500 0.7500
Ta 0.7500 0.7500 0.2500
Ge 0.2500 0.2500 0.7500
Ge 0.2500 0.7500 0.2500
Ge 0.7500 0.2500 0.2500
Ge 0.7500 0.7500 0.7500

Calculated values
* final energy: -53.32 eV for the cell shown
* total moment: 2.93 μB per formula unit

=====

No. 14
## SrTbGe (PBE-GGA)

Data for SrTbGe after structural relaxation.

a = 7.2448 Å, b = 7.2448 Å, c = 7.2448 Å
α = 90.00°, β = 90.00°, γ = 90.00°
Fractional coordinates of all 12 atoms:
Sr 0.0000 0.0000 0.0000
Sr 0.0000 0.5000 0.5000
Sr 0.5000 0.0000 0.5000
Sr 0.5000 0.5000 0.0000
Tb 0.0000 0.0000 0.5000
Tb 0.0000 0.5000 0.0000
Tb 0.5000 0.0000 0.0000
Tb 0.5000 0.5000 0.5000
Ge 0.2500 0.2500 0.2500
Ge 0.2500 0.7500 0.7500
Ge 0.7500 0.2500 0.7500
Ge 0.7500 0.7500 0.2500

Calculated values
* final energy: -48.53 eV for the cell shown
* total moment: 0.00 μB per formula unit

=====

No. 15
## SrTcGe (PBE-GGA)

Data for SrTcGe after structural relaxation.

a = 6.5785 Å, b = 6.5785 Å, c = 6.5785 Å
α = 90.00°, β = 90.00°, γ = 90.00°
Fractional coordinates of all 12 atoms:
Sr 0.0000 0.0000 0.0000
Sr 0.0000 0.5000 0.5000
Sr 0.5000 0.0000 0.5000
Sr 0.5000 0.5000 0.0000
Tc 0.0000 0.0000 0.5000
Tc 0.0000 0.5000 0.0000
Tc 0.5000 0.0000 0.0000
Tc 0.5000 0.5000 0.5000
Ge 0.2500 0.2500 0.2500
Ge 0.2500 0.7500 0.7500
Ge 0.7500 0.2500 0.7500
Ge 0.7500 0.7500 0.2500

Calculated values
* final energy: -60.09 eV for the cell shown
* total moment: 0.30 μB per formula unit